Entry 1:
## CsSr2ZnRh (PBE)

Data for a relaxed CsSr2ZnRh crystal.

Structure (POSCAR):
```
CsSr2ZnRh
1.0
-3.861 3.981 -2.001
-4.312 -2.669 3.008
1.003 3.060 4.153
Cs Sr Zn Rh
1 2 1 1
Direct
0.500 0.500 0.500
0.000 0.500 0.000
0.500 0.000 0.000
0.000 0.000 0.500
0.000 0.000 0.000
```

Results
- formation enthalpy at 0 K (meV/atom) = -11
- crystal system = tetragonal



Entry 2:
## CsTa3Rh (PBE)

Data for a relaxed CsTa3Rh crystal.

Structure (POSCAR):
```
CsTa3Rh
1.0
-2.569 -2.007 3.732
3.935 -2.749 1.230
1.572 3.601 3.019
Cs Rh Ta
1 1 3
Direct
0.000 0.000 0.000
0.500 0.500 0.500
0.000 0.500 0.000
0.000 0.000 0.500
0.500 0.000 0.000
```

Results
- formation enthalpy at 0 K (meV/atom) = 3325
- crystal system = cubic
- energy above the most stable polymorph in this dataset (meV per atom) = 1797



Entry 3:
## Cs2TaRh (PBE)

Data for a relaxed Cs2TaRh crystal.

Structure (POSCAR):
```
Cs2TaRh
1.0
-6.853 6.853 2.363
6.853 -6.853 2.363
6.853 6.853 -2.363
Cs Ta Rh
4 2 2
Direct
0.702 0.375 0.827
0.548 0.875 0.173
0.125 0.298 0.673
0.625 0.452 0.327
0.000 0.000 0.000
0.250 0.750 0.500
0.500 0.500 0.000
0.750 0.250 0.500
```

Results
- formation enthalpy at 0 K (meV/atom) = 1118
- crystal system = tetragonal



Entry 4:
## CsTa3Rh (PBE)

Data for a relaxed CsTa3Rh crystal.

Structure (POSCAR):
```
CsTa3Rh
1.0
-4.394 -2.302 -0.632
1.913 -2.602 -3.817
1.428 -3.596 3.167
Cs Rh Ta
1 1 3
Direct
0.500 0.500 0.500
0.000 0.000 0.000
0.000 0.500 0.000
0.000 0.000 0.500
0.500 0.000 0.000
```

Results
- formation enthalpy at 0 K (meV/atom) = 1528
- crystal system = cubic
- energy above the most stable polymorph in this dataset (meV per atom) = 0



Entry 5:
## Cs2TcRh2 (PBE)

Data for a relaxed Cs2TcRh2 crystal.

Structure (POSCAR):
```
Cs2TcRh2
1.0
-2.222 -0.925 -2.625
1.504 -3.225 -0.137
-8.188 -6.067 6.652
Cs Rh Tc
2 2 1
Direct
0.381 0.381 0.238
0.619 0.619 0.762
0.750 0.250 0.500
0.250 0.750 0.500
0.000 0.000 0.000
```

Results
- formation enthalpy at 0 K (meV/atom) = 1297
- crystal system = tetragonal



Entry 6:
## CsTc3Rh (PBE)

Data for a relaxed CsTc3Rh crystal.

Structure (POSCAR):
```
CsTc3Rh
1.0
4.941 0.000 0.000
0.000 4.941 0.000
0.000 0.000 4.941
Cs Rh Tc
1 1 3
Direct
0.500 0.500 0.500
0.000 0.000 0.000
0.000 0.500 0.000
0.000 0.000 0.500
0.500 0.000 0.000
```

Results
- formation enthalpy at 0 K (meV/atom) = 1958
- crystal system = cubic
- energy above the most stable polymorph in this dataset (meV per atom) = 0



> Which value of formation enthalpy at 0 K does entry 2 give?

3325 meV/atom



What did the sixth record say?
## CsTc3Rh (PBE)

Data for a relaxed CsTc3Rh crystal.

Structure (POSCAR):
```
CsTc3Rh
1.0
4.941 0.000 0.000
0.000 4.941 0.000
0.000 0.000 4.941
Cs Rh Tc
1 1 3
Direct
0.500 0.500 0.500
0.000 0.000 0.000
0.000 0.500 0.000
0.000 0.000 0.500
0.500 0.000 0.000
```

Results
- formation enthalpy at 0 K (meV/atom) = 1958
- crystal system = cubic
- energy above the most stable polymorph in this dataset (meV per atom) = 0



> What is the formation enthalpy at 0 K in the fifth record?

1297 meV/atom



> What is the formula in the third record?

Cs2TaRh